Entry from the Alexandria database: crystalline KDyCoF6 at its relaxed geometry (PBE+U).

abc: 7.4996 7.1839 7.3256
angles: 119.36 120.79 90.00
Last column: nearest neighbours and their distance in Å.
Element x y z (fractional)
F1 0.8324 0.6135 0.2661  1 Co 2.04
Dy1 0.5000 0.0000 0.5000  8 F 2.22-2.41
K1 0.1571 0.4071 0.3142  9 F 2.81-3.11
Dy2 0.0000 0.0000 0.5000  8 F 2.22-2.41
F2 0.8655 0.1155 0.7310  2 Dy 2.22
F3 0.6031 0.8531 0.2063  2 Co 2.09
Co1 0.5000 0.0000 0.0000  6 F 2.04-2.09
Co2 0.5000 0.5000 0.0000  6 F 2.04-2.09
F4 0.8324 0.1526 0.2661  1 Co 2.04
K2 0.8429 0.5929 0.6858  9 F 2.81-3.11
F5 0.5663 0.8474 0.7339  1 Co 2.04
F6 0.1676 0.8474 0.7339  1 Co 2.04
F7 0.5663 0.3865 0.7339  1 Co 2.04
F8 0.1345 0.8845 0.2690  2 Dy 2.22
F9 0.3969 0.1469 0.7937  2 Co 2.09
F10 0.4337 0.1526 0.2661  1 Co 2.04
F11 0.4337 0.6135 0.2661  1 Co 2.04
F12 0.1676 0.3865 0.7339  1 Co 2.04

- N(E_F) (states/eV/atom) = 0.000
- crystal system = orthorhombic
- space group = Imma (74)
- DFT total energy (eV/cell) = -100.6
- total magnetic moment (μB per atom) = 0.333